No. 1
TcPb2F | the Alexandria database | GGA-PBE | optimized geometry; energy above the most stable polymorph in this dataset = 0.000 eV per atom; formation energy (no corrections) = 0.018 eV per atom
1.0
0.000 3.462 3.462
3.462 0.000 3.462
3.462 3.462 0.000
Tc Pb F
1 2 1
Cartesian
0.000 0.000 0.000
1.731 1.731 1.731
5.193 5.193 5.193
3.462 3.462 3.462



No. 2
TcNi2Os | the Alexandria database | GGA-PBE | optimized geometry; energy above the most stable polymorph in this dataset = 0.107 eV per atom; DFT formation energy = 0.526 eV/f.u.
1.0
4.319 -1.324 0.000
4.319 1.324 0.000
-0.817 0.000 4.503
Tc Ni Os
1 2 1
Cartesian
0.000 0.000 0.000
1.533 0.000 3.379
6.288 0.000 1.125
3.911 0.000 2.252



No. 3
Cs2AcBr6 | the Alexandria database | GGA-PBE | optimized geometry; energy above the most stable polymorph in this dataset = 0.013 eV per atom; formation energy (no corrections) = -1.649 eV per atom
1.0
8.590 -4.416 0.000
8.590 4.416 0.000
-1.231 0.000 5.319
Cs Ac Br
2 1 6
Cartesian
2.696 0.000 0.850
13.254 0.000 4.469
7.975 0.000 2.659
5.666 1.951 1.912
8.590 1.791 0.000
10.284 1.951 3.407
5.666 -1.951 1.912
8.590 -1.791 0.000
10.284 -1.951 3.407



No. 4
Ho4Te2RhSe | the Alexandria database | GGA-PBE | optimized geometry; formation energy (no corrections) = -1.289 eV per atom
1.0
7.380 0.000 0.000
0.000 4.108 0.000
-2.340 0.000 7.065
Ho Te Rh Se
4 2 1 1
Cartesian
1.131 0.000 1.457
-0.017 2.054 5.526
5.057 2.054 1.539
3.908 0.000 5.608
-1.170 0.000 3.532
2.520 2.054 3.532
0.000 2.054 0.000
3.690 0.000 0.000



No. 5
B2C | the Alexandria database | GGA-PBE | optimized geometry; energy above the most stable polymorph in this dataset = 0.216 eV per atom; DFT formation energy = 1.203 eV/f.u.
1.0
6.916 -1.326 0.000
6.916 1.326 0.000
-1.297 0.000 4.877
B C
8 4
Cartesian
0.000 0.000 0.000
-0.842 0.000 3.251
0.532 0.000 4.657
2.398 0.000 2.396
4.601 0.000 1.956
7.183 0.000 1.300
11.020 0.000 0.603
11.019 0.000 4.008
3.563 0.000 3.334
6.114 0.000 2.430
8.749 0.000 1.663
9.481 0.000 0.230



No. 6
Sm7HoEr12 | the Alexandria database | GGA-PBE | optimized geometry; energy above the most stable polymorph in this dataset = 0.444 eV per atom; DFT formation energy = 13.611 eV/f.u.
1.0
-5.599 5.599 5.599
5.599 -5.599 5.599
5.599 5.599 -5.599
Sm Ho Er
7 1 12
Cartesian
2.800 2.800 -2.800
2.800 -2.800 2.800
5.599 0.000 0.000
-2.800 2.800 2.800
0.000 5.599 0.000
0.000 0.000 5.599
2.800 2.800 2.800
0.000 0.000 0.000
5.599 2.833 -2.833
5.599 -2.833 2.833
2.833 5.599 -2.833
2.766 2.766 0.000
2.766 0.000 2.766
2.833 -2.833 5.599
0.000 2.766 2.766
5.599 2.833 2.833
-2.833 5.599 2.833
-2.833 2.833 5.599
2.833 5.599 2.833
2.833 2.833 5.599



No. 7
La4Y2H | the Alexandria database | GGA-PBE | optimized geometry; DFT total energy = -5.060 eV per atom
1.0
-2.534 2.534 8.810
2.534 -2.534 8.810
2.534 2.534 -8.810
La Y H
4 2 1
Cartesian
2.534 0.000 0.000
0.000 0.000 2.742
0.000 2.534 0.000
0.000 0.000 14.877
0.000 0.000 6.350
0.000 0.000 11.270
0.000 0.000 0.000



No. 8
DyGa4Ag | the Alexandria database | GGA-PBE | optimized geometry; energy above the most stable polymorph in this dataset = 0.000 eV per atom; DFT formation energy = -1.390 eV/f.u.
1.0
5.765 0.000 0.000
2.211 5.395 0.000
1.300 -0.248 7.843
Dy Ga Ag
2 8 2
Cartesian
0.658 0.686 2.043
8.618 4.461 5.801
1.922 1.573 7.120
1.797 1.629 4.685
5.743 4.864 6.729
4.395 3.156 2.698
4.881 1.991 5.145
3.533 0.282 1.115
7.479 3.518 3.158
7.354 3.574 0.724
3.533 -0.124 3.922
3.988 2.697 0.000



No. 9
CsMgRu3 | the Alexandria database | GGA-PBE | optimized geometry; energy above the most stable polymorph in this dataset = 0.000 eV per atom; DFT formation energy = 9.648 eV/f.u.
1.0
4.926 0.000 0.000
0.000 4.926 0.000
0.000 0.000 4.926
Cs Mg Ru
1 1 3
Cartesian
0.000 0.000 0.000
2.463 2.463 2.463
0.000 2.463 2.463
2.463 0.000 2.463
2.463 2.463 0.000



No. 10
PmY6Er | the Alexandria database | GGA-PBE | optimized geometry; energy above the most stable polymorph in this dataset = 0.050 eV per atom; DFT formation energy = 1.627 eV/f.u.
1.0
6.573 0.000 0.000
-0.017 6.795 0.000
-1.540 -3.359 5.885
Pm Y Er
1 6 1
Cartesian
0.000 0.000 0.000
0.778 2.294 2.854
1.647 3.721 0.016
0.970 -1.117 3.084
4.047 4.553 2.802
3.370 -0.284 5.870
4.238 1.142 3.031
3.287 0.000 0.000



No. 11
LaTa2Tl | the Alexandria database | GGA-PBE | optimized geometry; DFT formation energy = 1.511 eV/f.u.
1.0
3.026 0.000 0.000
0.000 3.026 0.000
0.000 0.000 10.050
La Ta Tl
1 2 1
Cartesian
0.000 0.000 0.000
0.000 0.000 4.826
1.513 1.513 2.726
1.513 1.513 7.198



No. 12
LiYAs2Br | the Alexandria database | GGA-PBE | optimized geometry; energy above the most stable polymorph in this dataset = 0.090 eV per atom; formation energy (no corrections) = -0.308 eV per atom
1.0
5.489 0.000 0.000
0.000 5.489 0.000
0.000 0.000 5.674
Li Y As Br
1 1 2 1
Cartesian
0.000 0.000 0.000
2.745 2.745 2.837
0.000 2.745 2.837
2.745 0.000 2.837
2.745 2.745 0.000